DFT (PBE) results for a relaxed structure of V2Ru2Au.

## Properties
- total magnetic moment (Bohr magnetons per cell) = 0.0
- space-group type = No. 127
- calculated formation energy (eV per atom) = -0.01

Unit cell a=7.2539 b=7.2539 c=2.8341 alpha=90.00 beta=90.00 gamma=90.00
Last column: nearest neighbours and their distance in Å.
Atoms (fractional coordinates):
Ru (0.1500, 0.6500, 0.5000)  6 V 2.55, 2 Ru 2.83
Ru (0.6500, 0.8500, 0.5000)  6 V 2.55, 2 Ru 2.83
Ru (0.8500, 0.3500, 0.5000)  6 V 2.55, 2 Ru 2.83
Ru (0.3500, 0.1500, 0.5000)  6 V 2.55, 2 Ru 2.83
Au (0.0000, 0.0000, 0.0000)  4 V 2.79, 2 Au 2.83, 8 Ru 3.10
Au (0.5000, 0.5000, 0.0000)  4 V 2.79, 2 Au 2.83, 8 Ru 3.10
V (0.3572, 0.8572, 0.0000)  6 Ru 2.55, 2 Au 2.79, 2 V 2.83
V (0.8572, 0.6428, 0.0000)  6 Ru 2.55, 2 Au 2.79, 2 V 2.83
V (0.6428, 0.1428, 0.0000)  6 Ru 2.55, 2 Au 2.79, 2 V 2.83
V (0.1428, 0.3572, 0.0000)  6 Ru 2.55, 2 Au 2.79, 2 V 2.83